(1)
Computed, not measured: a PBEsol-optimized structure of Cr4TcRh at the SCAN level of DFT.

abc: 4.6707 4.6707 4.6707
angles: 60.00 60.00 60.00
Fractional coordinates of all 6 atoms:
1 Cr 0.3758 0.3758 0.3758
2 Cr 0.3758 0.3758 0.8725
3 Cr 0.3758 0.8725 0.3758
4 Cr 0.8725 0.3758 0.3758
5 Tc 0.7500 0.7500 0.7500
6 Rh 0.0000 0.0000 0.0000

Values from the calculation:
Its total energy is -23.73 eV per atom. The volume is 72 Å³/cell. As for the formation energy: -0.006 eV per atom.

***

(2)
Computed, not measured: a PBEsol-optimized structure of ZnCu at the SCAN level of DFT.

abc: 4.8709 4.8709 4.3590
angles: 113.37 113.37 31.53
Fractional coordinates of all 4 atoms:
1 Zn 0.1210 0.1210 0.3052
2 Zn 0.8790 0.8790 0.6948
3 Cu 0.3716 0.3716 0.1904
4 Cu 0.6284 0.6284 0.8096

Values from the calculation:
Its total energy is -14.44 eV per atom. The volume is 49 Å³/cell. As for the formation energy: -0.085 eV per atom.

***

(3)
Computed, not measured: a PBEsol-optimized structure of ZnCrAs2Br at the SCAN level of DFT.

abc: 4.6919 4.6919 5.2421
angles: 90.00 90.00 90.00
Fractional coordinates of all 5 atoms:
1 Zn 0.0000 0.0000 0.0000
2 Cr 0.5000 0.5000 0.5000
3 As 0.0000 0.5000 0.0000
4 As 0.5000 0.0000 0.0000
5 Br 0.0000 0.0000 0.5000

Values from the calculation:
Its total energy is -17.79 eV per atom. The uncorrected formation energy comes out at 0.56 eV/atom. The volume is 115 Å³/cell.

***

(4)
Computed, not measured: a PBEsol-optimized structure of ZrAl2Cu at the SCAN level of DFT.

abc: 4.0236 4.0236 3.9432
angles: 90.00 90.00 90.00
Fractional coordinates of all 4 atoms:
1 Zr 0.0000 0.0000 0.0000
2 Al 0.0000 0.5000 0.5000
3 Al 0.5000 0.0000 0.5000
4 Cu 0.5000 0.5000 0.0000

Values from the calculation:
Its total energy is -15.82 eV per atom. The volume is 64 Å³/cell. As for the formation energy: -0.465 eV per atom.

***

(5)
Computed, not measured: a PBEsol-optimized structure of Ca2Zn2P at the SCAN level of DFT.

abc: 4.1348 4.1348 8.5815
angles: 90.00 90.00 120.00
Fractional coordinates of all 5 atoms:
1 Ca 0.3333 0.6667 0.1689
2 Ca 0.6667 0.3333 0.8311
3 Zn 0.3333 0.6667 0.5464
4 Zn 0.6667 0.3333 0.4536
5 P 0.0000 0.0000 0.0000

Values from the calculation:
Its total energy is -11.88 eV per atom. The volume is 127 Å³/cell. As for the formation energy: -0.529 eV per atom.

***

(6)
Computed, not measured: a PBEsol-optimized structure of LaYTl2 at the SCAN level of DFT.

abc: 5.6715 5.6715 3.5233
angles: 90.00 90.00 103.25
Fractional coordinates of all 4 atoms:
1 La 0.0000 0.0000 0.0000
2 Y 0.5000 0.5000 0.0000
3 Tl 0.0000 0.5000 0.5000
4 Tl 0.5000 0.0000 0.5000

Values from the calculation:
Its total energy is -54.50 eV per atom. The volume is 110 Å³/cell. As for the formation energy: -0.583 eV per atom.

***

(7)
Computed, not measured: a PBEsol-optimized structure of SiHgAu2 at the SCAN level of DFT.

abc: 5.5513 5.5513 5.5513
angles: 150.18 118.57 69.77
Fractional coordinates of all 4 atoms:
1 Si 0.0000 0.0000 0.0000
2 Hg 0.5000 0.5000 0.0000
3 Au 0.2237 0.7237 0.5000
4 Au 0.7763 0.2763 0.5000

Values from the calculation:
Its total energy is -53.93 eV per atom. The uncorrected formation energy comes out at 0.20 eV/atom. The volume is 74 Å³/cell. The excess energy over the best structure of this formula in the dataset is 192 meV per atom.

***

(8)
Computed, not measured: a PBEsol-optimized structure of Ho5Pb4 at the SCAN level of DFT.

abc: 8.0408 15.3082 8.1016
angles: 90.00 90.00 90.00
Fractional coordinates of all 36 atoms:
1 Ho 0.0353 0.0993 0.1762
2 Ho 0.0353 0.4007 0.1762
3 Ho 0.1235 0.6209 0.3428
4 Ho 0.1235 0.8791 0.3428
5 Ho 0.2088 0.2500 0.5041
6 Ho 0.2912 0.7500 0.0041
7 Ho 0.3765 0.1209 0.8428
8 Ho 0.3765 0.3791 0.8428
9 Ho 0.4647 0.5993 0.6762
10 Ho 0.4647 0.9007 0.6762
11 Ho 0.5353 0.0993 0.3238
12 Ho 0.5353 0.4007 0.3238
13 Ho 0.6235 0.6209 0.1572
14 Ho 0.6235 0.8791 0.1572
15 Ho 0.7088 0.2500 0.9959
16 Ho 0.7912 0.7500 0.4959
17 Ho 0.8765 0.1209 0.6572
18 Ho 0.8765 0.3791 0.6572
19 Ho 0.9647 0.5993 0.8238
20 Ho 0.9647 0.9007 0.8238
21 Pb 0.0712 0.2500 0.8762
22 Pb 0.1531 0.7500 0.6528
23 Pb 0.2180 0.0430 0.5342
24 Pb 0.2180 0.4570 0.5342
25 Pb 0.2820 0.5430 0.0342
26 Pb 0.2820 0.9570 0.0342
27 Pb 0.3469 0.2500 0.1528
28 Pb 0.4288 0.7500 0.3762
29 Pb 0.5712 0.2500 0.6238
30 Pb 0.6531 0.7500 0.8472
31 Pb 0.7180 0.0430 0.9658
32 Pb 0.7180 0.4570 0.9658
33 Pb 0.7820 0.5430 0.4658
34 Pb 0.7820 0.9570 0.4658
35 Pb 0.8469 0.2500 0.3472
36 Pb 0.9288 0.7500 0.1238

Values from the calculation:
Its total energy is -61.68 eV per atom. The volume is 997 Å³/cell. As for the formation energy: -0.786 eV per atom.

***

(9)
Computed, not measured: a PBEsol-optimized structure of Al3Bi5Br12 at the SCAN level of DFT.

abc: 12.4742 12.4742 12.4742
angles: 58.36 58.36 58.36
Fractional coordinates of all 40 atoms:
1 Al 0.2297 0.7500 0.2703
2 Al 0.2500 0.7297 0.7703
3 Al 0.2703 0.2297 0.7500
4 Al 0.7297 0.7703 0.2500
5 Al 0.7500 0.2703 0.2297
6 Al 0.7703 0.2500 0.7297
7 Bi 0.0954 0.4046 0.2500
8 Bi 0.1725 0.1725 0.1725
9 Bi 0.2500 0.0954 0.4046
10 Bi 0.3275 0.3275 0.3275
11 Bi 0.4046 0.2500 0.0954
12 Bi 0.5954 0.7500 0.9046
13 Bi 0.6725 0.6725 0.6725
14 Bi 0.7500 0.9046 0.5954
15 Bi 0.8275 0.8275 0.8275
16 Bi 0.9046 0.5954 0.7500
17 Br 0.0380 0.9341 0.3105
18 Br 0.0659 0.6895 0.9620
19 Br 0.0956 0.2730 0.6986
20 Br 0.1895 0.5659 0.4620
21 Br 0.1986 0.7730 0.5956
22 Br 0.2270 0.4044 0.8014
23 Br 0.2730 0.6986 0.0956
24 Br 0.3014 0.9044 0.7270
25 Br 0.3105 0.0380 0.9341
26 Br 0.4044 0.8014 0.2270
27 Br 0.4341 0.5380 0.8105
28 Br 0.4620 0.1895 0.5659
29 Br 0.5380 0.8105 0.4341
30 Br 0.5659 0.4620 0.1895
31 Br 0.5956 0.1986 0.7730
32 Br 0.6895 0.9620 0.0659
33 Br 0.6986 0.0956 0.2730
34 Br 0.7270 0.3014 0.9044
35 Br 0.7730 0.5956 0.1986
36 Br 0.8014 0.2270 0.4044
37 Br 0.8105 0.4341 0.5380
38 Br 0.9044 0.7270 0.3014
39 Br 0.9341 0.3105 0.0380
40 Br 0.9620 0.0659 0.6895

Values from the calculation:
Its total energy is -33.34 eV per atom. The uncorrected formation energy comes out at -0.85 eV/atom. The volume is 1321 Å³/cell.

***

(10)
Computed, not measured: a PBEsol-optimized structure of CuAgPt2 at the SCAN level of DFT.

abc: 9.0966 9.0966 9.0966
angles: 17.28 17.28 17.28
Fractional coordinates of all 4 atoms:
1 Cu 0.0000 0.0000 0.0000
2 Ag 0.5000 0.5000 0.5000
3 Pt 0.2555 0.2555 0.2555
4 Pt 0.7445 0.7445 0.7445

Values from the calculation:
Its total energy is -46.86 eV per atom. The volume is 58 Å³/cell. As for the formation energy: -0.122 eV per atom. The excess energy over the best structure of this formula in the dataset is 0 meV per atom.

***

(11)
Computed, not measured: a PBEsol-optimized structure of Mn4CrRe at the SCAN level of DFT.

abc: 4.5682 4.5682 4.5682
angles: 60.00 60.00 60.00
Fractional coordinates of all 6 atoms:
1 Mn 0.1239 0.1239 0.1239
2 Mn 0.1239 0.1239 0.6282
3 Mn 0.1239 0.6282 0.1239
4 Mn 0.6282 0.1239 0.1239
5 Cr 0.7500 0.7500 0.7500
6 Re 0.5000 0.5000 0.5000

Values from the calculation:
Its total energy is -27.00 eV per atom. The volume is 67 Å³/cell. As for the formation energy: 0.083 eV per atom.

***

Question: Which formula does entry 7 have?
Answer: SiHgAu2